Density functional theory data (PBE) for a geometry-optimized ZnAuNO2 structure.

Structure (POSCAR):
```
ZnAuNO2
1.0
4.215 0.000 0.000
0.000 4.215 0.000
0.000 0.000 3.805
Zn Au N O
1 1 1 2
Direct
0.000 0.000 0.000 Zn
0.500 0.500 0.500 Au
0.500 0.500 0.000 N
0.000 0.500 0.500 O
0.500 0.000 0.500 O
```

Its density of states at the Fermi level is 0.5050 states/eV/atom. The total moment comes out at 0.6 μB/f.u. As for the symmetry: P4/mmm (123). For the uncorrected formation energy, the calculation gives 986 meV/atom.

=====

Density functional theory data (PBE) for a geometry-optimized ZnAuNO2 structure.

Structure (POSCAR):
```
ZnAuNO2
1.0
3.974 0.000 0.000
0.000 3.974 0.000
0.000 0.000 3.919
Zn Au N O
1 1 1 2
Direct
0.000 0.000 0.000 Zn
0.500 0.500 0.500 Au
0.000 0.000 0.500 N
0.000 0.500 0.000 O
0.500 0.000 0.000 O
```

Its density of states at the Fermi level is 0.4687 states/eV/atom. The total moment comes out at 3.4 μB/f.u. As for the symmetry: P4/mmm (123). For the uncorrected formation energy, the calculation gives 919 meV/atom.

=====

Density functional theory data (PBE) for a geometry-optimized ZrAuN2O structure.

Structure (POSCAR):
```
ZrAuN2O
1.0
4.376 0.000 0.000
0.000 4.376 0.000
0.000 0.000 4.077
Zr Au N O
1 1 2 1
Direct
0.000 0.000 0.000 Zr
0.500 0.500 0.500 Au
0.000 0.500 0.000 N
0.500 0.000 0.000 N
0.000 0.000 0.500 O
```

Its density of states at the Fermi level is 0.3783 states/eV/atom. The total moment comes out at 3.0 μB/f.u. As for the symmetry: P4/mmm (123). For the uncorrected formation energy, the calculation gives 283 meV/atom.

=====

Density functional theory data (PBE) for a geometry-optimized ZrAuN2O structure.

Structure (POSCAR):
```
ZrAuN2O
1.0
4.040 0.000 0.000
0.000 4.040 0.000
0.000 0.000 3.925
Zr Au N O
1 1 2 1
Direct
0.000 0.000 0.000 Zr
0.500 0.500 0.500 Au
0.000 0.500 0.500 N
0.500 0.000 0.500 N
0.500 0.500 0.000 O
```

Its density of states at the Fermi level is 0.1734 states/eV/atom. The total moment comes out at 0.0 μB/f.u. As for the symmetry: P4/mmm (123). For the uncorrected formation energy, the calculation gives 715 meV/atom.